5
Lattice="3.822 0.000 0.000 0.000 3.822 0.000 0.000 0.000 4.984" Properties=species:S:1:pos:R:3 comment="PBEsol GaMoSeN2, relaxed" mass_density_g_cm3=6.217 m_tot_mub_per_cell=1.03 e_form_raw_ev_per_atom=1.3483 dft_energy_ev_per_atom=-5.854 pbc="T T T"
Ga 0.000 0.000 0.000
Mo 1.911 1.911 2.492
Se 0.000 0.000 2.492
N 0.000 1.911 0.000
N 1.911 0.000 0.000